The following is a PBE calculation of an optimized crystal structure of CeAlV, from the Alexandria database.

Results
Its final energy is -0.4532 Ry/atom. The calculation puts the energy of formation at 0.098 eV/atom. The space group is P4/nmm. As for the mass density: 5.851 g/cm3.

Lattice parameters (Å, degrees): 4.9443 4.9443 5.0626 90.00 90.00 90.00
Closest atoms and distances in Å follow each position.
Fractional positions:
V: 0.0000 0.5000 0.8634  1 Ce 2.30, 4 Al 2.57
V: 0.5000 0.0000 0.1366  1 Ce 2.30, 4 Al 2.57
Ce: 0.0000 0.5000 0.4088  1 V 2.30
Ce: 0.5000 0.0000 0.5912  1 V 2.30
Al: 0.5000 0.5000 0.0000  4 V 2.57
Al: 0.0000 0.0000 0.0000  4 V 2.57


The following is a PBE calculation of an optimized crystal structure of Ce2AlV, from the Alexandria database.

Results
Its final energy is -0.4370 Ry/atom. The calculation puts the energy of formation at 0.236 eV/atom. The space group is R-3m. As for the mass density: 7.293 g/cm3.

Lattice parameters (Å, degrees): 2.9463 2.9463 10.9795 82.29 82.29 60.00
Closest atoms and distances in Å follow each position.
Fractional positions:
Ce: 0.2521 0.2521 0.2436  6 Ce 2.95, 3 V 3.14, 3 Al 3.26
Ce: 0.7479 0.7479 0.7564  6 Ce 2.95, 3 V 3.14, 3 Al 3.26
V: 0.0000 0.0000 0.0000  6 V 2.95, 6 Ce 3.14
Al: 0.5000 0.5000 0.5000  6 Al 2.95, 6 Ce 3.26


The following is a PBE calculation of an optimized crystal structure of CeAlV, from the Alexandria database.

Results
Its final energy is -0.4601 Ry/atom. The calculation puts the energy of formation at 0.006 eV/atom. The space group is I4mm. As for the mass density: 6.528 g/cm3.

Lattice parameters (Å, degrees): 2.8685 2.8685 7.0387 101.76 101.76 90.00
Closest atoms and distances in Å follow each position.
Fractional positions:
Al: 0.3014 0.3014 0.6029  4 V 2.71, 4 Al 2.87
V: 0.9353 0.9353 0.8706  4 Al 2.71, 4 V 2.87
Ce: 0.6133 0.6133 0.2265  4 Ce 2.87, 4 V 3.14


The following is a PBE calculation of an optimized crystal structure of CeAl20V2, from the Alexandria database.

Results
Its final energy is -0.3332 Ry/atom. The calculation puts the energy of formation at -0.228 eV/atom. The space group is Fd-3m. As for the mass density: 3.392 g/cm3.

Lattice parameters (Å, degrees): 10.2671 10.2671 10.2671 60.00 60.00 60.00
Closest atoms and distances in Å follow each position.
Fractional positions:
Al: 0.9503 0.4176 0.9503  8 Al 2.71-2.93, 1 V 2.81
Al: 0.6250 0.1250 0.6250  12 Al 3.10, 2 Ce 3.14
Al: 0.6819 0.4176 0.9503  8 Al 2.71-2.93, 1 V 2.81
Al: 0.5681 0.2997 0.2997  8 Al 2.71-2.93, 1 V 2.81
Al: 0.2997 0.2997 0.5681  8 Al 2.71-2.93, 1 V 2.81
Al: 0.2997 0.2997 0.8324  8 Al 2.71-2.93, 1 V 2.81
Al: 0.8627 0.1373 0.8627  2 V 2.57, 10 Al 2.72-2.85
Al: 0.3873 0.1127 0.1127  2 V 2.57, 10 Al 2.72-2.85
Al: 0.5681 0.2997 0.8324  8 Al 2.71-2.93, 1 V 2.81
Al: 0.6819 0.9503 0.9503  8 Al 2.71-2.93, 1 V 2.81
Al: 0.4176 0.9503 0.9503  8 Al 2.71-2.93, 1 V 2.81
Al: 0.2997 0.8324 0.2997  8 Al 2.71-2.93, 1 V 2.81
Al: 0.3873 0.3873 0.1127  2 V 2.57, 10 Al 2.72-2.85
Al: 0.2997 0.8324 0.5681  8 Al 2.71-2.93, 1 V 2.81
Al: 0.9503 0.6819 0.4176  8 Al 2.71-2.93, 1 V 2.81
Al: 0.2997 0.5681 0.8324  8 Al 2.71-2.93, 1 V 2.81
Al: 0.1373 0.8627 0.8627  2 V 2.57, 10 Al 2.72-2.85
Al: 0.9503 0.9503 0.6819  8 Al 2.71-2.93, 1 V 2.81
Al: 0.8627 0.8627 0.1373  2 V 2.57, 10 Al 2.72-2.85
Al: 0.1373 0.8627 0.1373  2 V 2.57, 10 Al 2.72-2.85
Al: 0.1250 0.6250 0.6250  12 Al 3.10, 2 Ce 3.14
Al: 0.1127 0.3873 0.1127  2 V 2.57, 10 Al 2.72-2.85
Al: 0.3873 0.1127 0.3873  2 V 2.57, 10 Al 2.72-2.85
Al: 0.6250 0.6250 0.1250  12 Al 3.10, 2 Ce 3.14
Al: 0.4176 0.9503 0.6819  8 Al 2.71-2.93, 1 V 2.81
Al: 0.6819 0.9503 0.4176  8 Al 2.71-2.93, 1 V 2.81
Al: 0.8324 0.2997 0.5681  8 Al 2.71-2.93, 1 V 2.81
Al: 0.8324 0.2997 0.2997  8 Al 2.71-2.93, 1 V 2.81
Al: 0.6250 0.6250 0.6250  12 Al 3.10, 2 Ce 3.14
Al: 0.4176 0.6819 0.9503  8 Al 2.71-2.93, 1 V 2.81
Al: 0.1373 0.1373 0.8627  2 V 2.57, 10 Al 2.72-2.85
Al: 0.8324 0.5681 0.2997  8 Al 2.71-2.93, 1 V 2.81
Al: 0.5681 0.8324 0.2997  8 Al 2.71-2.93, 1 V 2.81
Al: 0.1127 0.1127 0.3873  2 V 2.57, 10 Al 2.72-2.85
Al: 0.9503 0.9503 0.4176  8 Al 2.71-2.93, 1 V 2.81
Al: 0.8627 0.1373 0.1373  2 V 2.57, 10 Al 2.72-2.85
Al: 0.1127 0.3873 0.3873  2 V 2.57, 10 Al 2.72-2.85
Al: 0.2997 0.5681 0.2997  8 Al 2.71-2.93, 1 V 2.81
Al: 0.9503 0.6819 0.9503  8 Al 2.71-2.93, 1 V 2.81
Al: 0.9503 0.4176 0.6819  8 Al 2.71-2.93, 1 V 2.81
Ce: 0.7500 0.7500 0.7500  16 Al 3.14-3.21
Ce: 0.5000 0.5000 0.5000  16 Al 3.14-3.21
V: 0.1250 0.6250 0.1250  12 Al 2.57-2.81
V: 0.6250 0.1250 0.1250  12 Al 2.57-2.81
V: 0.1250 0.1250 0.1250  12 Al 2.57-2.81
V: 0.1250 0.1250 0.6250  12 Al 2.57-2.81


The following is a PBE calculation of an optimized crystal structure of CeAlV4, from the Alexandria database.

Results
Its final energy is -0.5517 Ry/atom. The calculation puts the energy of formation at 0.186 eV/atom. The space group is F-43m. As for the mass density: 6.255 g/cm3.

Lattice parameters (Å, degrees): 5.1832 5.1832 5.1832 60.00 60.00 60.00
Closest atoms and distances in Å follow each position.
Fractional positions:
V: 0.6237 0.6237 0.6237  6 V 2.56-2.62
V: 0.6237 0.6237 0.1290  6 V 2.56-2.62
V: 0.6237 0.1290 0.6237  6 V 2.56-2.62
V: 0.1290 0.6237 0.6237  6 V 2.56-2.62
Ce: 0.2500 0.2500 0.2500  12 V 3.04, 4 Al 3.17
Al: 0.0000 0.0000 0.0000  12 V 3.04, 4 Ce 3.17


The following is a PBE calculation of an optimized crystal structure of Ce2Al3V, from the Alexandria database.

Results
Its final energy is -0.4162 Ry/atom. The calculation puts the energy of formation at -0.294 eV/atom. The space group is R-3m. As for the mass density: 5.638 g/cm3.

Lattice parameters (Å, degrees): 5.5422 5.5422 5.5733 90.00 119.84 119.97
Closest atoms and distances in Å follow each position.
Fractional positions:
Al: 0.5000 0.0000 0.5000  4 Al 2.77, 2 V 2.79
Al: 0.0000 0.0000 0.5000  4 Al 2.77, 2 V 2.79
Al: 0.5000 0.5000 0.5000  4 Al 2.77, 2 V 2.79
V: 0.0000 0.0000 0.0000  6 Al 2.79
Ce: 0.7425 0.3713 0.1138  9 Al 3.22-3.28, 3 V 3.24, 4 Ce 3.36-3.52
Ce: 0.2575 0.6287 0.8862  9 Al 3.22-3.28, 3 V 3.24, 4 Ce 3.36-3.52


The following is a PBE calculation of an optimized crystal structure of Ce2AlV, from the Alexandria database.

Results
Its final energy is -0.4527 Ry/atom. The calculation puts the energy of formation at 0.023 eV/atom. The space group is P4/mmm. As for the mass density: 6.889 g/cm3.

Lattice parameters (Å, degrees): 4.5055 4.3773 4.3773 90.00 90.00 90.00
Closest atoms and distances in Å follow each position.
Fractional positions:
V: 0.5000 0.0000 0.0000  4 Al 3.10, 8 Ce 3.14
Al: 0.5000 0.5000 0.5000  4 V 3.10, 8 Ce 3.14
Ce: 0.0000 0.0000 0.5000  4 Ce 3.10, 4 V 3.14, 4 Al 3.14
Ce: 0.0000 0.5000 0.0000  4 Ce 3.10, 4 Al 3.14, 4 V 3.14


The following is a PBE calculation of an optimized crystal structure of Ce2AlW, from the Alexandria database.

Results
Its final energy is -0.4946 Ry/atom. The calculation puts the energy of formation at 0.412 eV/atom. The space group is R-3m. As for the mass density: 9.663 g/cm3.

Lattice parameters (Å, degrees): 2.9572 2.9572 11.2728 82.46 82.46 60.00
Closest atoms and distances in Å follow each position.
Fractional positions:
Ce: 0.0844 0.0844 0.7468  1 W 2.82, 6 Ce 2.96
Ce: 0.9156 0.9156 0.2532  1 W 2.82, 6 Ce 2.96
Al: 0.5000 0.5000 0.5000  6 Al 2.96, 6 Ce 3.24
W: 0.0000 0.0000 0.0000  2 Ce 2.82, 6 W 2.96


The following is a PBE calculation of an optimized crystal structure of CeY4Al5, from the Alexandria database.

Results
Its final energy is -0.3997 Ry/atom. The calculation puts the energy of formation at -0.388 eV/atom. The space group is P4/mmm. As for the mass density: 4.418 g/cm3.

Lattice parameters (Å, degrees): 3.5677 3.5677 18.6230 90.00 90.00 90.00
Closest atoms and distances in Å follow each position.
Fractional positions:
Al: 0.5000 0.5000 0.5000  8 Y 3.12
Al: 0.5000 0.5000 0.8937  4 Y 3.12, 4 Ce 3.21
Al: 0.5000 0.5000 0.6968  8 Y 3.12
Al: 0.5000 0.5000 0.1063  4 Y 3.12, 4 Ce 3.21
Al: 0.5000 0.5000 0.3032  8 Y 3.12
Y: 0.0000 0.0000 0.4017  8 Al 3.12
Y: 0.0000 0.0000 0.2050  8 Al 3.12
Y: 0.0000 0.0000 0.7950  8 Al 3.12
Y: 0.0000 0.0000 0.5983  8 Al 3.12
Ce: 0.0000 0.0000 0.0000  8 Al 3.21, 4 Ce 3.57


The following is a PBE calculation of an optimized crystal structure of Ce2YAl, from the Alexandria database.

Results
Its final energy is -0.4166 Ry/atom. The calculation puts the energy of formation at -0.149 eV/atom. The space group is P4/mmm. As for the mass density: 6.324 g/cm3.

Lattice parameters (Å, degrees): 5.0633 4.5323 4.5323 90.00 90.00 90.00
Closest atoms and distances in Å follow each position.
Fractional positions:
Al: 0.5000 0.5000 0.5000  4 Y 3.20, 8 Ce 3.40
Ce: 0.0000 0.0000 0.5000  4 Ce 3.20, 4 Al 3.40, 4 Y 3.40
Ce: 0.0000 0.5000 0.0000  4 Ce 3.20, 4 Al 3.40, 4 Y 3.40
Y: 0.5000 0.0000 0.0000  4 Al 3.20, 8 Ce 3.40


The following is a PBE calculation of an optimized crystal structure of CeY2Al, from the Alexandria database.

Results
Its final energy is -0.4173 Ry/atom. The calculation puts the energy of formation at -0.026 eV/atom. The space group is R3m. As for the mass density: 4.988 g/cm3.

Lattice parameters (Å, degrees): 3.5460 3.5460 10.7416 80.50 80.50 60.00
Closest atoms and distances in Å follow each position.
Fractional positions:
Y: 0.2608 0.2608 0.2176  3 Al 3.07
Y: 0.0724 0.0724 0.7827  3 Al 3.08
Ce: 0.5004 0.5004 0.4988  6 Ce 3.55, 6 Y 3.60-3.63
Al: 0.6664 0.6664 0.0009  6 Y 3.07-3.08


The following is a PBE calculation of an optimized crystal structure of CeY5Al6, from the Alexandria database.

Results
Its final energy is -0.4005 Ry/atom. The calculation puts the energy of formation at -0.390 eV/atom. The space group is Immm. As for the mass density: 4.352 g/cm3.

Lattice parameters (Å, degrees): 5.1198 7.2331 8.8766 114.04 106.76 90.00
Closest atoms and distances in Å follow each position.
Fractional positions:
Y: 0.3316 0.3316 0.6633  8 Al 3.11
Y: 0.0000 0.5000 0.0000  8 Al 3.09-3.15
Y: 0.6628 0.1628 0.3257  8 Al 3.13-3.16
Y: 0.6684 0.6684 0.3367  8 Al 3.11
Y: 0.3372 0.8372 0.6743  8 Al 3.13-3.16
Al: 0.1695 0.4253 0.3390  7 Y 3.11-3.16, 1 Ce 3.20
Al: 0.8305 0.5747 0.6610  7 Y 3.11-3.16, 1 Ce 3.20
Al: 0.8305 0.0863 0.6610  7 Y 3.11-3.16, 1 Ce 3.20
Al: 0.5000 0.7383 0.0000  6 Y 3.09-3.14, 2 Ce 3.18, 1 Al 3.45
Al: 0.5000 0.2617 0.0000  6 Y 3.09-3.14, 2 Ce 3.18, 1 Al 3.45
Al: 0.1695 0.9137 0.3390  7 Y 3.11-3.16, 1 Ce 3.20
Ce: 0.0000 0.0000 0.0000  8 Al 3.18-3.20